P:
Compound: Sn2HgPb
Source: the Alexandria database
Functional: PBE
Structure: relaxed

Total magnetization   0.00 μB per atom
Space-group type   P2_1/m, No. 11

a b c (Å): 4.6620 4.6650 10.8927
angles (deg): 90.00 103.41 90.00
With the nearest neighbours (Å) after each atom.
Fractional coordinates of all 8 atoms:
Hg  0.3108  0.2500  0.6531  5 Pb 3.12-3.31, 4 Sn 3.34-3.37
Hg  0.6892  0.7500  0.3469  5 Pb 3.12-3.31, 4 Sn 3.34-3.37
Sn  0.0616  0.7500  0.1189  8 Sn 3.29-3.45, 2 Hg 3.34-3.37, 2 Pb 3.45
Sn  0.4422  0.7500  0.8825  8 Sn 3.29-3.45, 2 Hg 3.37, 2 Pb 3.45-3.47
Sn  0.5578  0.2500  0.1175  8 Sn 3.29-3.45, 2 Hg 3.37, 2 Pb 3.45-3.47
Sn  0.9384  0.2500  0.8811  8 Sn 3.29-3.45, 2 Hg 3.34-3.37, 2 Pb 3.45
Pb  0.1926  0.2500  0.3590  5 Hg 3.12-3.31, 4 Sn 3.45-3.47
Pb  0.8074  0.7500  0.6410  5 Hg 3.12-3.31, 4 Sn 3.45-3.47

---

Q:
Compound: Sn2HgPb
Source: the Alexandria database
Functional: PBE
Structure: relaxed

Total magnetization   0.00 μB per atom
Space-group type   R3m, No. 160

a b c (Å): 4.5356 4.5356 7.2744
angles (deg): 71.84 71.84 60.00
With the nearest neighbours (Å) after each atom.
Fractional coordinates of all 4 atoms:
Hg  0.6693  0.6693  0.9922  6 Sn 2.99-3.05
Sn  0.2587  0.2587  0.2238  3 Hg 3.05, 3 Pb 3.24
Sn  0.0733  0.0733  0.7800  3 Hg 2.99, 3 Pb 3.22
Pb  0.4987  0.4987  0.5040  6 Sn 3.22-3.24, 1 Hg 3.47

---

Quick one: least stable of them? Q

---

P:
Compound: SnHg2Pb8
Source: the Alexandria database
Functional: PBE
Structure: relaxed

Total magnetization   0.00 μB per atom
Space-group type   C2/m, No. 12

a b c (Å): 5.8035 8.4936 8.4936
angles (deg): 63.43 77.43 77.43
With the nearest neighbours (Å) after each atom.
Fractional coordinates of all 11 atoms:
Sn  0.0000  0.0000  0.0000  2 Hg 3.00, 6 Pb 3.20-3.27
Pb  0.0541  0.7694  0.7694  2 Hg 3.19-3.28, 1 Sn 3.27, 5 Pb 3.32-3.58
Pb  0.7846  0.6336  0.2226  1 Sn 3.20, 5 Pb 3.32-3.58, 1 Hg 3.32
Pb  0.3345  0.3670  0.3670  1 Hg 3.34, 8 Pb 3.35-3.59
Pb  0.6655  0.6330  0.6330  1 Hg 3.34, 8 Pb 3.35-3.59
Pb  0.7846  0.2226  0.6336  1 Sn 3.20, 5 Pb 3.32-3.58, 1 Hg 3.32
Pb  0.2154  0.7774  0.3664  1 Sn 3.20, 5 Pb 3.32-3.58, 1 Hg 3.32
Pb  0.2154  0.3664  0.7774  1 Sn 3.20, 5 Pb 3.32-3.58, 1 Hg 3.32
Pb  0.9459  0.2306  0.2306  2 Hg 3.19-3.28, 1 Sn 3.27, 5 Pb 3.32-3.58
Hg  0.4969  0.8721  0.8721  1 Sn 3.00, 5 Pb 3.19-3.34
Hg  0.5031  0.1279  0.1279  1 Sn 3.00, 5 Pb 3.19-3.34

---

Q:
Compound: SnHg2Pb8
Source: the Alexandria database
Functional: PBE
Structure: relaxed

Total magnetization   0.00 μB per atom
Space-group type   C2/m, No. 12

a b c (Å): 4.9841 9.3273 9.0543
angles (deg): 120.98 106.17 90.01
With the nearest neighbours (Å) after each atom.
Fractional coordinates of all 11 atoms:
Pb  0.3382  0.5728  0.6789  3 Hg 3.31-3.43, 1 Sn 3.43, 7 Pb 3.43-3.65
Pb  0.8395  0.8431  0.6861  2 Sn 3.39-3.40, 8 Pb 3.45-3.53, 2 Hg 3.45-3.49
Pb  0.0000  0.7170  0.0000  2 Hg 3.31, 6 Pb 3.43-3.50, 2 Sn 3.63
Pb  0.6618  0.4272  0.3211  3 Hg 3.31-3.43, 1 Sn 3.43, 7 Pb 3.43-3.65
Pb  0.6618  0.8939  0.3210  3 Hg 3.31-3.43, 1 Sn 3.43, 7 Pb 3.43-3.65
Pb  0.1605  0.1569  0.3139  2 Sn 3.39-3.40, 8 Pb 3.45-3.53, 2 Hg 3.45-3.49
Pb  0.3382  0.1061  0.6790  3 Hg 3.31-3.43, 1 Sn 3.43, 7 Pb 3.43-3.65
Pb  0.0000  0.2830  0.0000  2 Hg 3.31, 6 Pb 3.43-3.50, 2 Sn 3.63
Sn  0.5000  0.0000  0.0000  12 Pb 3.39-3.63
Hg  0.8218  0.3217  0.6433  10 Pb 3.31-3.49
Hg  0.1782  0.6783  0.3567  10 Pb 3.31-3.49

---

Quick one: least stable of them? P

---

P:
Compound: SnHgPb3
Source: the Alexandria database
Functional: PBE
Structure: relaxed

Total magnetization   0.00 μB per atom
Space-group type   Pm-3m, No. 221

a b c (Å): 5.7143 5.7143 5.7143
angles (deg): 90.00 90.00 90.00
With the nearest neighbours (Å) after each atom.
Fractional coordinates of all 5 atoms:
Pb  0.0000  0.0000  0.5000  2 Hg 2.86
Pb  0.0000  0.5000  0.0000  2 Hg 2.86
Pb  0.5000  0.0000  0.0000  2 Hg 2.86
Sn  0.5000  0.5000  0.5000  12 Pb 4.04
Hg  0.0000  0.0000  0.0000  6 Pb 2.86

---

Q:
Compound: SnHgPb3
Source: the Alexandria database
Functional: PBE
Structure: relaxed

Total magnetization   0.00 μB per atom
Space-group type   P2_1/m, No. 11

a b c (Å): 3.5701 9.8017 8.6068
angles (deg): 101.35 90.00 90.00
With the nearest neighbours (Å) after each atom.
Fractional coordinates of all 10 atoms:
Pb  0.7500  0.3415  0.9616  2 Hg 3.40, 9 Pb 3.49-3.57, 1 Sn 3.69
Pb  0.2500  0.6585  0.0384  2 Hg 3.40, 9 Pb 3.49-3.57, 1 Sn 3.69
Pb  0.2500  0.4475  0.6530  3 Hg 3.37-3.50, 2 Sn 3.40, 7 Pb 3.50-3.57
Pb  0.2500  0.0335  0.8341  2 Hg 3.32, 3 Sn 3.40-3.42, 6 Pb 3.49-3.57
Pb  0.7500  0.9665  0.1659  2 Hg 3.32, 3 Sn 3.40-3.42, 6 Pb 3.49-3.57
Pb  0.7500  0.5525  0.3470  3 Hg 3.37-3.50, 2 Sn 3.40, 7 Pb 3.50-3.57
Sn  0.7500  0.1479  0.5480  2 Hg 3.36, 4 Sn 3.37-3.57, 6 Pb 3.40-3.69
Sn  0.2500  0.8521  0.4520  2 Hg 3.36, 4 Sn 3.37-3.57, 6 Pb 3.40-3.69
Hg  0.2500  0.2559  0.2642  7 Pb 3.32-3.50, 2 Sn 3.36, 2 Hg 3.57
Hg  0.7500  0.7441  0.7358  7 Pb 3.32-3.50, 2 Sn 3.36, 2 Hg 3.57

---

Quick one: least stable of them? P

---

P:
Compound: Sn3HgPb2
Source: the Alexandria database
Functional: PBE
Structure: relaxed

Total magnetization   0.00 μB per atom
Space-group type   Pmma, No. 51

a b c (Å): 6.2277 6.2843 8.9677
angles (deg): 90.00 90.00 90.00
With the nearest neighbours (Å) after each atom.
Fractional coordinates of all 12 atoms:
Pb  0.7500  0.5000  0.9420  1 Hg 3.13, 2 Pb 3.28, 2 Sn 3.50
Pb  0.2500  0.0000  0.3455  2 Hg 3.19, 6 Sn 3.47-3.52
Pb  0.7500  0.0000  0.6545  2 Hg 3.19, 6 Sn 3.47-3.52
Pb  0.2500  0.5000  0.0580  1 Hg 3.13, 2 Pb 3.28, 2 Sn 3.50
Sn  0.7500  0.2472  0.2897  4 Sn 3.11-3.40, 1 Hg 3.15
Sn  0.2500  0.2472  0.7103  4 Sn 3.11-3.40, 1 Hg 3.15
Sn  0.5000  0.0000  0.0000  6 Sn 3.11-3.40, 2 Pb 3.47
Sn  0.0000  0.0000  0.0000  6 Sn 3.11-3.40, 2 Pb 3.47
Sn  0.2500  0.7528  0.7103  4 Sn 3.11-3.40, 1 Hg 3.15
Sn  0.7500  0.7528  0.2897  4 Sn 3.11-3.40, 1 Hg 3.15
Hg  0.7500  0.5000  0.5933  3 Pb 3.13-3.19, 2 Sn 3.15
Hg  0.2500  0.5000  0.4067  3 Pb 3.13-3.19, 2 Sn 3.15

---

Q:
Compound: Sn3HgPb2
Source: the Alexandria database
Functional: PBE
Structure: relaxed

Total magnetization   0.00 μB per atom
Space-group type   P2_1/m, No. 11

a b c (Å): 3.5290 6.9878 13.9140
angles (deg): 90.22 90.00 90.00
With the nearest neighbours (Å) after each atom.
Fractional coordinates of all 12 atoms:
Hg  0.7500  0.1264  0.2462  6 Sn 3.33-3.51, 4 Pb 3.37-3.38, 2 Hg 3.53
Hg  0.2500  0.8736  0.7538  6 Sn 3.33-3.51, 4 Pb 3.37-3.38, 2 Hg 3.53
Sn  0.7500  0.6194  0.9115  2 Hg 3.33, 6 Sn 3.35-3.53, 4 Pb 3.40-3.58
Sn  0.7500  0.1173  0.5877  6 Sn 3.36-3.53, 4 Pb 3.37-3.62, 2 Hg 3.37
Sn  0.2500  0.3806  0.0885  2 Hg 3.33, 6 Sn 3.35-3.53, 4 Pb 3.40-3.58
Sn  0.2500  0.3756  0.7472  6 Sn 3.35-3.53, 4 Pb 3.39, 2 Hg 3.48-3.51
Sn  0.2500  0.8827  0.4123  6 Sn 3.36-3.53, 4 Pb 3.37-3.62, 2 Hg 3.37
Sn  0.7500  0.6244  0.2528  6 Sn 3.35-3.53, 4 Pb 3.39, 2 Hg 3.48-3.51
Pb  0.7500  0.1323  0.9151  2 Hg 3.38, 6 Sn 3.39-3.58, 4 Pb 3.48-3.53
Pb  0.7500  0.6357  0.5853  6 Sn 3.37-3.62, 2 Hg 3.37, 4 Pb 3.51-3.53
Pb  0.2500  0.8677  0.0849  2 Hg 3.38, 6 Sn 3.39-3.58, 4 Pb 3.48-3.53
Pb  0.2500  0.3643  0.4147  6 Sn 3.37-3.62, 2 Hg 3.37, 4 Pb 3.51-3.53

---

Quick one: least stable of them? P

---

P:
Compound: SnHgPb6
Source: the Alexandria database
Functional: PBE
Structure: relaxed

Total magnetization   0.00 μB per atom
Space-group type   P4/mmm, No. 123

a b c (Å): 4.9577 4.9577 9.8472
angles (deg): 90.00 90.00 90.00
With the nearest neighbours (Å) after each atom.
Fractional coordinates of all 8 atoms:
Pb  0.5000  0.0000  0.2474  2 Hg 3.48, 8 Pb 3.48-3.51, 2 Sn 3.51
Pb  0.5000  0.5000  0.5000  4 Sn 3.51, 8 Pb 3.51
Pb  0.5000  0.0000  0.7526  8 Pb 3.48-3.51, 2 Hg 3.48, 2 Sn 3.51
Pb  0.5000  0.5000  0.0000  8 Pb 3.48, 4 Hg 3.51
Pb  0.0000  0.5000  0.7526  2 Hg 3.48, 8 Pb 3.48-3.51, 2 Sn 3.51
Pb  0.0000  0.5000  0.2474  2 Hg 3.48, 8 Pb 3.48-3.51, 2 Sn 3.51
Hg  0.0000  0.0000  0.0000  12 Pb 3.48-3.51
Sn  0.0000  0.0000  0.5000  12 Pb 3.51

---

Q:
Compound: SnHgPb6
Source: the Alexandria database
Functional: PBE
Structure: relaxed

Total magnetization   0.00 μB per atom
Space-group type   Cmmm, No. 65

a b c (Å): 4.9143 7.0223 7.0223
angles (deg): 90.05 90.00 90.00
With the nearest neighbours (Å) after each atom.
Fractional coordinates of all 8 atoms:
Pb  0.0000  0.7498  0.2502  8 Pb 3.49-3.51, 2 Hg 3.49, 2 Sn 3.50
Pb  0.0000  0.2502  0.7498  8 Pb 3.49-3.51, 2 Hg 3.49, 2 Sn 3.50
Pb  0.5000  0.5000  0.0000  8 Pb 3.49, 2 Hg 3.51, 2 Sn 3.51
Pb  0.5000  0.0000  0.5000  8 Pb 3.49, 2 Sn 3.51, 2 Hg 3.51
Pb  0.0000  0.2496  0.2496  2 Sn 3.49, 8 Pb 3.49-3.51, 2 Hg 3.50
Pb  0.0000  0.7504  0.7504  2 Sn 3.49, 8 Pb 3.49-3.51, 2 Hg 3.50
Sn  0.5000  0.0000  0.0000  12 Pb 3.49-3.51
Hg  0.5000  0.5000  0.5000  12 Pb 3.49-3.51

---

Quick one: least stable of them? P

---

P:
Compound: SnHg4Pb
Source: the Alexandria database
Functional: PBE
Structure: relaxed

Total magnetization   0.00 μB per atom
Space-group type   P2/m, No. 10

a b c (Å): 3.2850 5.6588 8.6866
angles (deg): 90.00 86.84 90.00
With the nearest neighbours (Å) after each atom.
Fractional coordinates of all 6 atoms:
Hg  0.9710  0.0000  0.3280  5 Hg 3.00-3.29, 2 Sn 3.25-3.32
Hg  0.1633  0.5000  0.1591  5 Hg 3.02-3.29, 1 Pb 3.22, 2 Sn 3.31
Hg  0.0290  0.0000  0.6720  5 Hg 3.00-3.29, 2 Sn 3.25-3.32
Hg  0.8367  0.5000  0.8409  5 Hg 3.02-3.29, 1 Pb 3.22, 2 Sn 3.31
Pb  0.5000  0.5000  0.5000  8 Hg 3.22-3.58, 2 Pb 3.29
Sn  0.5000  0.0000  0.0000  8 Hg 3.25-3.32, 2 Sn 3.29

---

Q:
Compound: SnHg4Pb
Source: the Alexandria database
Functional: PBE
Structure: relaxed

Total magnetization   0.00 μB per atom
Space-group type   F-43m, No. 216

a b c (Å): 6.1077 6.1077 6.1077
angles (deg): 60.00 60.00 60.00
With the nearest neighbours (Å) after each atom.
Fractional coordinates of all 6 atoms:
Hg  0.6249  0.6249  0.1252  6 Hg 3.05-3.06
Hg  0.6249  0.6249  0.6249  6 Hg 3.05-3.06
Hg  0.6249  0.1252  0.6249  6 Hg 3.05-3.06
Hg  0.1252  0.6249  0.6249  6 Hg 3.05-3.06
Pb  0.0000  0.0000  0.0000  12 Hg 3.58, 4 Sn 3.74
Sn  0.2500  0.2500  0.2500  12 Hg 3.58, 4 Pb 3.74

---

Quick one: least stable of them? Q

---

P:
Compound: Sn2HgPb8
Source: the Alexandria database
Functional: PBE
Structure: relaxed

Total magnetization   0.00 μB per atom
Space-group type   C2/m, No. 12

a b c (Å): 3.5461 10.3465 9.2830
angles (deg): 94.31 101.01 90.00
With the nearest neighbours (Å) after each atom.
Fractional coordinates of all 11 atoms:
Hg  0.5000  0.0000  0.0000  10 Pb 3.41-3.53, 2 Hg 3.55
Pb  0.8645  0.8179  0.7291  8 Pb 3.46-3.55, 2 Sn 3.46, 2 Hg 3.48
Pb  0.9550  0.2646  0.9100  2 Hg 3.41, 9 Pb 3.44-3.61, 1 Sn 3.63
Pb  0.1355  0.1821  0.2709  8 Pb 3.46-3.55, 2 Sn 3.46, 2 Hg 3.48
Pb  0.6820  0.9056  0.3639  9 Pb 3.44-3.55, 2 Sn 3.50, 1 Hg 3.53
Pb  0.4054  0.5375  0.8108  3 Sn 3.40-3.43, 9 Pb 3.51-3.61
Pb  0.3180  0.0944  0.6361  9 Pb 3.44-3.55, 2 Sn 3.50, 1 Hg 3.53
Pb  0.5946  0.4625  0.1892  3 Sn 3.40-3.43, 9 Pb 3.51-3.61
Pb  0.0450  0.7354  0.0900  2 Hg 3.41, 9 Pb 3.44-3.61, 1 Sn 3.63
Sn  0.7690  0.3667  0.5379  4 Sn 3.39-3.55, 8 Pb 3.40-3.63
Sn  0.2310  0.6333  0.4621  4 Sn 3.39-3.55, 8 Pb 3.40-3.63

---

Q:
Compound: Sn2HgPb8
Source: the Alexandria database
Functional: PBE
Structure: relaxed

Total magnetization   0.00 μB per atom
Space-group type   C2/m, No. 12

a b c (Å): 5.7864 8.4871 8.4871
angles (deg): 62.95 79.01 79.01
With the nearest neighbours (Å) after each atom.
Fractional coordinates of all 11 atoms:
Pb  0.0743  0.7720  0.7720  1 Hg 3.23, 2 Sn 3.29-3.30, 4 Pb 3.35-3.52
Pb  0.6617  0.6377  0.6377  8 Pb 3.40-3.60, 1 Sn 3.48
Pb  0.2138  0.7735  0.3697  1 Hg 3.19, 1 Sn 3.22, 5 Pb 3.35-3.57
Pb  0.3383  0.3623  0.3623  8 Pb 3.40-3.60, 1 Sn 3.48
Pb  0.9257  0.2280  0.2280  1 Hg 3.23, 2 Sn 3.29-3.30, 4 Pb 3.35-3.52
Pb  0.2138  0.3697  0.7735  1 Hg 3.19, 1 Sn 3.22, 5 Pb 3.35-3.57
Pb  0.7862  0.6303  0.2265  1 Hg 3.19, 1 Sn 3.22, 5 Pb 3.35-3.57
Pb  0.7862  0.2265  0.6303  1 Hg 3.19, 1 Sn 3.22, 5 Pb 3.35-3.57
Hg  0.0000  0.0000  0.0000  2 Sn 3.06, 6 Pb 3.19-3.23
Sn  0.5112  0.8839  0.8839  1 Hg 3.06, 4 Pb 3.22-3.30, 1 Sn 3.33
Sn  0.4888  0.1161  0.1161  1 Hg 3.06, 4 Pb 3.22-3.30, 1 Sn 3.33

---

Quick one: least stable of them? Q

---

P:
Compound: Sn5Hg2Pb12
Source: the Alexandria database
Functional: PBE
Structure: relaxed

Total magnetization   0.00 μB per atom
Space-group type   C2/m, No. 12

a b c (Å): 6.9551 10.6922 8.9846
angles (deg): 70.02 90.00 108.98
With the nearest neighbours (Å) after each atom.
Fractional coordinates of all 19 atoms:
Hg  0.2402  0.0000  0.0000  2 Sn 3.10, 4 Pb 3.20, 1 Hg 3.34
Hg  0.7598  0.0000  0.0000  2 Sn 3.10, 4 Pb 3.20, 1 Hg 3.34
Pb  0.1024  0.2047  0.1321  2 Hg 3.20, 1 Sn 3.20, 2 Pb 3.37
Pb  0.5663  0.1327  0.3236  1 Sn 3.18, 5 Pb 3.33-3.54
Pb  0.4337  0.8673  0.6764  1 Sn 3.18, 5 Pb 3.33-3.54
Pb  0.5106  0.5453  0.7951  3 Sn 3.24-3.36, 4 Pb 3.31-3.46
Pb  0.4894  0.4547  0.2049  3 Sn 3.24-3.36, 4 Pb 3.31-3.46
Pb  0.9654  0.4547  0.2049  3 Sn 3.24-3.36, 4 Pb 3.31-3.46
Pb  0.8459  0.2034  0.6330  1 Hg 3.20, 4 Sn 3.26-3.50, 3 Pb 3.40-3.56
Pb  0.3575  0.2034  0.6330  1 Hg 3.20, 4 Sn 3.26-3.50, 3 Pb 3.40-3.56
Pb  0.6425  0.7966  0.3670  1 Hg 3.20, 4 Sn 3.26-3.50, 3 Pb 3.40-3.56
Pb  0.1541  0.7966  0.3670  1 Hg 3.20, 4 Sn 3.26-3.50, 3 Pb 3.40-3.56
Pb  0.8976  0.7953  0.8679  2 Hg 3.20, 1 Sn 3.20, 2 Pb 3.37
Pb  0.0346  0.5453  0.7951  3 Sn 3.24-3.36, 4 Pb 3.31-3.46
Sn  0.6312  0.2625  0.9437  2 Hg 3.10, 3 Pb 3.18-3.24
Sn  0.0000  0.0000  0.5000  6 Pb 3.20-3.26
Sn  0.2464  0.4928  0.4957  8 Pb 3.26-3.36, 2 Sn 3.48
Sn  0.7536  0.5072  0.5043  8 Pb 3.26-3.36, 2 Sn 3.48
Sn  0.3688  0.7375  0.0563  2 Hg 3.10, 3 Pb 3.18-3.24

---

Q:
Compound: Sn5Hg2Pb12
Source: the Alexandria database
Functional: PBE
Structure: relaxed

Total magnetization   0.00 μB per atom
Space-group type   C2/m, No. 12

a b c (Å): 6.1417 10.1238 10.1235
angles (deg): 69.66 84.29 84.28
With the nearest neighbours (Å) after each atom.
Fractional coordinates of all 19 atoms:
Sn  0.0809  0.6973  0.6973  6 Pb 3.28-3.62, 2 Sn 3.44-3.50
Sn  0.4457  0.2048  0.2048  9 Pb 3.26-3.59, 3 Sn 3.38-3.50
Sn  0.5000  0.0000  0.0000  8 Pb 3.30-3.54, 2 Sn 3.38
Sn  0.5543  0.7952  0.7952  9 Pb 3.26-3.59, 3 Sn 3.38-3.50
Sn  0.9191  0.3027  0.3027  6 Pb 3.28-3.62, 2 Sn 3.44-3.50
Pb  0.2192  0.5507  0.0615  7 Pb 3.37-3.72, 4 Sn 3.38-3.62, 1 Hg 3.56
Pb  0.0379  0.8960  0.8960  5 Sn 3.28-3.58, 5 Pb 3.43-3.53
Pb  0.9621  0.1040  0.1040  5 Sn 3.28-3.58, 5 Pb 3.43-3.53
Pb  0.7808  0.9385  0.4493  7 Pb 3.37-3.72, 4 Sn 3.38-3.62, 1 Hg 3.56
Pb  0.4241  0.4018  0.4018  2 Sn 3.26-3.28, 2 Hg 3.31, 5 Pb 3.41-3.55
Pb  0.6732  0.1366  0.6644  1 Hg 3.12, 2 Sn 3.30-3.37, 3 Pb 3.37-3.42
Pb  0.6732  0.6644  0.1366  1 Hg 3.12, 2 Sn 3.30-3.37, 3 Pb 3.37-3.42
Pb  0.5759  0.5982  0.5982  2 Sn 3.26-3.28, 2 Hg 3.31, 5 Pb 3.41-3.55
Pb  0.3268  0.8634  0.3356  1 Hg 3.12, 2 Sn 3.30-3.37, 3 Pb 3.37-3.42
Pb  0.2192  0.0615  0.5507  7 Pb 3.37-3.72, 4 Sn 3.38-3.62, 1 Hg 3.56
Pb  0.7808  0.4493  0.9385  7 Pb 3.37-3.72, 4 Sn 3.38-3.62, 1 Hg 3.56
Pb  0.3268  0.3356  0.8634  1 Hg 3.12, 2 Sn 3.30-3.37, 3 Pb 3.37-3.42
Hg  0.0000  0.3625  0.6375  4 Pb 3.12-3.31, 1 Hg 3.18
Hg  0.0000  0.6375  0.3625  4 Pb 3.12-3.31, 1 Hg 3.18

---

Quick one: least stable of them? P